The following is a DFT calculation (PBE) of a relaxed structure of La4CuHg2.

The structure in POSCAR format:
```
La4CuHg2
1.0
5.289 0.000 0.000
0.000 5.289 0.000
0.000 0.000 15.070
La Cu Hg
8 2 4
Direct
0.000 0.500 0.111 La
0.000 0.500 0.389 La
0.000 0.500 0.611 La
0.000 0.500 0.889 La
0.500 0.000 0.111 La
0.500 0.000 0.389 La
0.500 0.000 0.611 La
0.500 0.000 0.889 La
0.000 0.000 0.000 Cu
0.500 0.500 0.500 Cu
0.000 0.000 0.250 Hg
0.000 0.000 0.750 Hg
0.500 0.500 0.250 Hg
0.500 0.500 0.750 Hg
```

Calculated values
Its density of states at the Fermi level is 18.32 states/eV/cell. The value obtained for the formation energy is -0.245 eV per atom. Its crystal system is tetragonal.



The following is a DFT calculation (PBE) of a relaxed structure of La4CuHg.

The structure in POSCAR format:
```
La4CuHg
1.0
5.411 0.000 0.000
0.000 12.663 0.000
0.000 0.000 5.413
La Cu Hg
8 2 2
Direct
0.000 0.146 0.000 La
0.000 0.353 0.500 La
0.000 0.647 0.500 La
0.000 0.854 0.000 La
0.500 0.147 0.500 La
0.500 0.354 0.000 La
0.500 0.646 0.000 La
0.500 0.853 0.500 La
0.000 0.500 0.000 Cu
0.500 0.000 0.000 Cu
0.000 0.000 0.500 Hg
0.500 0.500 0.500 Hg
```

Calculated values
Its density of states at the Fermi level is 14.66 states/eV/cell. The value obtained for the formation energy is -0.175 eV per atom. The value obtained for the energy above the lowest structure with this stoichiometry is 0.13 eV per formula unit. Its crystal system is orthorhombic.



The following is a DFT calculation (PBE) of a relaxed structure of LaCuHg2.

The structure in POSCAR format:
```
LaCuHg2
1.0
3.457 0.000 0.000
0.000 3.492 0.000
0.000 0.000 7.565
La Cu Hg
1 1 2
Direct
0.000 0.000 0.000 La
0.000 0.000 0.500 Cu
0.500 0.500 0.300 Hg
0.500 0.500 0.700 Hg
```

Calculated values
Its density of states at the Fermi level is 3.28 states/eV/cell. The value obtained for the formation energy is -0.157 eV per atom. Its crystal system is orthorhombic.



The following is a DFT calculation (PBE) of a relaxed structure of LiLa2CuHg.

The structure in POSCAR format:
```
LiLa2CuHg
1.0
5.957 0.000 0.000
0.000 5.957 0.000
0.000 0.000 4.715
Li La Cu Hg
1 2 1 1
Direct
0.000 0.000 0.000 Li
0.000 0.500 0.500 La
0.500 0.000 0.500 La
0.500 0.500 0.000 Cu
0.000 0.000 0.500 Hg
```

Calculated values
Its density of states at the Fermi level is 5.16 states/eV/cell. The value obtained for the formation energy is 0.312 eV per atom. Its crystal system is tetragonal.



The following is a DFT calculation (PBE) of a relaxed structure of LaLuCuHg.

The structure in POSCAR format:
```
LaLuCuHg
1.0
7.365 0.000 0.000
0.000 7.365 0.000
0.000 0.000 7.365
La Lu Cu Hg
4 4 4 4
Direct
0.000 0.000 0.000 La
0.000 0.500 0.500 La
0.500 0.000 0.500 La
0.500 0.500 0.000 La
0.000 0.000 0.500 Lu
0.000 0.500 0.000 Lu
0.500 0.000 0.000 Lu
0.500 0.500 0.500 Lu
0.250 0.250 0.750 Cu
0.250 0.750 0.250 Cu
0.750 0.250 0.250 Cu
0.750 0.750 0.750 Cu
0.250 0.250 0.250 Hg
0.250 0.750 0.750 Hg
0.750 0.250 0.750 Hg
0.750 0.750 0.250 Hg
```

Calculated values
Its density of states at the Fermi level is 10.33 states/eV/cell. The value obtained for the formation energy is -0.291 eV per atom. Its crystal system is cubic.



The following is a DFT calculation (PBE) of a relaxed structure of LaMgCuHg2.

The structure in POSCAR format:
```
LaMgCuHg2
1.0
5.055 0.000 0.000
0.000 5.055 0.000
0.000 0.000 4.865
La Mg Cu Hg
1 1 1 2
Direct
0.000 0.000 0.000 La
0.500 0.500 0.000 Mg
0.500 0.500 0.500 Cu
0.000 0.500 0.500 Hg
0.500 0.000 0.500 Hg
```

Calculated values
Its density of states at the Fermi level is 3.13 states/eV/cell. The value obtained for the formation energy is -0.108 eV per atom. Its crystal system is tetragonal.



The following is a DFT calculation (PBE) of a relaxed structure of NaLaCuHg.

The structure in POSCAR format:
```
NaLaCuHg
1.0
7.364 0.000 0.000
0.000 7.364 0.000
0.000 0.000 7.364
Na La Cu Hg
4 4 4 4
Direct
0.000 0.000 0.000 Na
0.000 0.500 0.500 Na
0.500 0.000 0.500 Na
0.500 0.500 0.000 Na
0.000 0.000 0.500 La
0.000 0.500 0.000 La
0.500 0.000 0.000 La
0.500 0.500 0.500 La
0.250 0.250 0.250 Cu
0.250 0.750 0.750 Cu
0.750 0.250 0.750 Cu
0.750 0.750 0.250 Cu
0.250 0.250 0.750 Hg
0.250 0.750 0.250 Hg
0.750 0.250 0.250 Hg
0.750 0.750 0.750 Hg
```

Calculated values
Its density of states at the Fermi level is 11.87 states/eV/cell. The value obtained for the formation energy is -0.143 eV per atom. Its crystal system is cubic.



The following is a DFT calculation (PBE) of a relaxed structure of LaNdCuHg.

The structure in POSCAR format:
```
LaNdCuHg
1.0
7.545 0.000 0.000
0.000 7.545 0.000
0.000 0.000 7.545
La Nd Cu Hg
4 4 4 4
Direct
0.000 0.000 0.000 La
0.000 0.500 0.500 La
0.500 0.000 0.500 La
0.500 0.500 0.000 La
0.000 0.000 0.500 Nd
0.000 0.500 0.000 Nd
0.500 0.000 0.000 Nd
0.500 0.500 0.500 Nd
0.250 0.250 0.750 Cu
0.250 0.750 0.250 Cu
0.750 0.250 0.250 Cu
0.750 0.750 0.750 Cu
0.250 0.250 0.250 Hg
0.250 0.750 0.750 Hg
0.750 0.250 0.750 Hg
0.750 0.750 0.250 Hg
```

Calculated values
Its density of states at the Fermi level is 15.01 states/eV/cell. The value obtained for the formation energy is -0.278 eV per atom. The value obtained for the energy above the lowest structure with this stoichiometry is 0.10 eV per formula unit. Its crystal system is cubic.



The following is a DFT calculation (PBE) of a relaxed structure of LaNdCuHg.

The structure in POSCAR format:
```
LaNdCuHg
1.0
3.727 0.000 0.000
0.000 3.727 0.000
0.000 0.000 7.618
La Nd Cu Hg
1 1 1 1
Direct
0.000 0.000 0.000 La
0.000 0.000 0.455 Nd
0.500 0.500 0.239 Cu
0.500 0.500 0.720 Hg
```

Calculated values
Its density of states at the Fermi level is 4.42 states/eV/cell. The value obtained for the formation energy is -0.303 eV per atom. The value obtained for the energy above the lowest structure with this stoichiometry is 0.00 eV per formula unit. Its crystal system is tetragonal.



The following is a DFT calculation (PBE) of a relaxed structure of La2CuNiHg.

The structure in POSCAR format:
```
La2CuNiHg
1.0
5.342 0.000 0.000
0.000 5.342 0.000
0.000 0.000 4.588
La Cu Ni Hg
2 1 1 1
Direct
0.000 0.500 0.000 La
0.500 0.000 0.000 La
0.000 0.000 0.500 Cu
0.000 0.000 0.000 Ni
0.500 0.500 0.500 Hg
```

Calculated values
Its density of states at the Fermi level is 4.50 states/eV/cell. The value obtained for the formation energy is -0.190 eV per atom. Its crystal system is tetragonal.



The following is a DFT calculation (PBE) of a relaxed structure of La2CuHgO5.

The structure in POSCAR format:
```
La2CuHgO5
1.0
7.057 0.000 0.000
0.000 7.057 0.000
0.000 0.000 5.528
La Cu Hg O
4 2 2 10
Direct
0.180 0.320 0.000 La
0.320 0.820 0.000 La
0.680 0.180 0.000 La
0.820 0.680 0.000 La
0.000 0.500 0.500 Cu
0.500 0.000 0.500 Cu
0.000 0.000 0.500 Hg
0.500 0.500 0.500 Hg
0.000 0.000 0.000 O
0.126 0.626 0.254 O
0.126 0.626 0.746 O
0.374 0.126 0.254 O
0.374 0.126 0.746 O
0.500 0.500 0.000 O
0.626 0.874 0.254 O
0.626 0.874 0.746 O
0.874 0.374 0.254 O
0.874 0.374 0.746 O
```

Calculated values
As for the uncorrected formation energy: -1.9706 eV/atom. Its density of states at the Fermi level is 5.24 states/eV/cell. Its crystal system is tetragonal.



The following is a DFT calculation (PBE) of a relaxed structure of LaCuHgP2.

The structure in POSCAR format:
```
LaCuHgP2
1.0
5.060 0.000 0.000
0.000 5.060 0.000
0.000 0.000 4.677
La Cu Hg P
1 1 1 2
Direct
0.000 0.000 0.000 La
0.500 0.500 0.000 Cu
0.500 0.500 0.500 Hg
0.000 0.500 0.500 P
0.500 0.000 0.500 P
```

Calculated values
Its density of states at the Fermi level is 2.51 states/eV/cell. The value obtained for the formation energy is 0.182 eV per atom. Its crystal system is tetragonal.



Total magnetization per entry: 0.0, 2.6, 0.2, 0.0, 0.0, 0.0, 0.0, 0.1, 0.0, 0.0, 0.0, 0.0 Bohr magnetons per cell